A | ## LaPm4Pr7 (PBE)

Data for crystalline LaPm4Pr7 at its relaxed geometry.

- DOS at the Fermi energy (states/eV per atom) = 1.592
- magnetization (μB per cell) = 0.0

Lattice parameters (Å, degrees): 7.4321 9.8498 9.2250 81.19 89.99 41.03
Element x y z (fractional)
Pr (0.7518, 0.4999, 0.0005)
Pr (0.2482, 0.5001, 0.9995)
Pr (0.7788, 0.2216, 0.3330)
Pr (0.9713, 0.2800, 0.6663)
Pr (0.5000, 0.0000, 0.0000)
Pr (0.0287, 0.7200, 0.3337)
Pm (0.4688, 0.2791, 0.6674)
Pm (0.7186, 0.7812, 0.6669)
Pm (0.5312, 0.7209, 0.3326)
La (0.0000, 0.0000, 0.0000)
Pr (0.2212, 0.7784, 0.6670)
Pm (0.2814, 0.2188, 0.3331)

B | ## LaPm4Pr7 (PBE)

Data for crystalline LaPm4Pr7 at its relaxed geometry.

- DOS at the Fermi energy (states/eV per atom) = 1.555
- magnetization (μB per cell) = 0.0

Lattice parameters (Å, degrees): 6.1817 11.9608 6.8925 83.00 63.36 75.02
Element x y z (fractional)
Pr (0.6308, 0.4982, 0.2403)
Pm (0.2500, 0.3176, 0.1823)
Pr (0.9411, 0.3303, 0.7874)
Pr (0.0589, 0.6697, 0.2126)
La (0.0000, 0.0000, 0.0000)
Pm (0.7500, 0.6824, 0.8177)
Pm (0.3645, 0.7757, 0.4954)
Pr (0.2094, 0.0799, 0.5012)
Pr (0.7906, 0.9201, 0.4988)
Pm (0.6355, 0.2243, 0.5046)
Pr (0.5000, 0.0000, 0.0000)
Pr (0.3692, 0.5018, 0.7597)

Ranking the structures above by stability puts A first and B last.